1.
Computed, not measured: a geometry-optimized BaRe2SeO structure at the PBE-GGA level of DFT.

## Properties
- mass density (g/cm³) = 3.41

```
data_BaRe2SeO
_space_group_name_H-M_alt 'P 1'
_space_group_IT_number 1
_cell_length_a 7.044
_cell_length_b 5.928
_cell_length_c 7.044
_cell_angle_alpha 90.00
_cell_angle_beta 90.00
_cell_angle_gamma 90.00
loop_
_space_group_symop_operation_xyz
'x,y,z'
loop_
_atom_site_label
_atom_site_type_symbol
_atom_site_fract_x
_atom_site_fract_y
_atom_site_fract_z
_atom_site_occupancy
O1 O 0.500 0.500 0.500 1
Re1 Re 0.000 0.000 0.500 1
Re2 Re 0.500 0.000 0.000 1
Ba1 Ba 0.000 0.000 0.000 1
Se1 Se 0.000 0.500 0.000 1
```



2.
Computed, not measured: a geometry-optimized BaSmRe2O8 structure at the PBE-GGA level of DFT.

## Properties
- mass density (g/cm³) = 5.46

```
data_BaSmRe2O8
_space_group_name_H-M_alt 'P 1'
_space_group_IT_number 1
_cell_length_a 6.004
_cell_length_b 6.004
_cell_length_c 7.677
_cell_angle_alpha 90.00
_cell_angle_beta 90.00
_cell_angle_gamma 120.00
loop_
_space_group_symop_operation_xyz
'x,y,z'
loop_
_atom_site_label
_atom_site_type_symbol
_atom_site_fract_x
_atom_site_fract_y
_atom_site_fract_z
_atom_site_occupancy
Ba1 Ba 0.000 0.000 0.000 1
Sm1 Sm 0.000 0.000 0.500 1
Re1 Re 0.667 0.333 0.221 1
Re2 Re 0.333 0.667 0.779 1
O1 O 0.333 0.667 0.013 1
O2 O 0.332 0.166 0.298 1
O3 O 0.834 0.166 0.298 1
O4 O 0.667 0.333 0.987 1
O5 O 0.166 0.834 0.702 1
O6 O 0.668 0.834 0.702 1
O7 O 0.166 0.332 0.702 1
O8 O 0.834 0.668 0.298 1
```



3.
Computed, not measured: a geometry-optimized BaSmReO6 structure at the PBE-GGA level of DFT.

## Properties
- mass density (g/cm³) = 5.99

```
data_BaSmReO6
_space_group_name_H-M_alt 'P 1'
_space_group_IT_number 1
_cell_length_a 5.720
_cell_length_b 5.720
_cell_length_c 5.572
_cell_angle_alpha 90.00
_cell_angle_beta 90.00
_cell_angle_gamma 60.00
loop_
_space_group_symop_operation_xyz
'x,y,z'
loop_
_atom_site_label
_atom_site_type_symbol
_atom_site_fract_x
_atom_site_fract_y
_atom_site_fract_z
_atom_site_occupancy
Ba1 Ba 0.000 0.000 0.000 1
Sm1 Sm 0.667 0.667 0.500 1
Re1 Re 0.333 0.333 0.500 1
O1 O 0.052 0.350 0.303 1
O2 O 0.350 0.052 0.697 1
O3 O 0.598 0.350 0.697 1
O4 O 0.052 0.598 0.697 1
O5 O 0.350 0.598 0.303 1
O6 O 0.598 0.052 0.303 1
```



4.
Computed, not measured: a geometry-optimized Ba2SmReO6 structure at the PBE-GGA level of DFT.

## Properties
- mass density (g/cm³) = 7.47

```
data_Ba2SmReO6
_space_group_name_H-M_alt 'P 1'
_space_group_IT_number 1
_cell_length_a 6.059
_cell_length_b 6.059
_cell_length_c 6.059
_cell_angle_alpha 60.00
_cell_angle_beta 60.00
_cell_angle_gamma 60.00
loop_
_space_group_symop_operation_xyz
'x,y,z'
loop_
_atom_site_label
_atom_site_type_symbol
_atom_site_fract_x
_atom_site_fract_y
_atom_site_fract_z
_atom_site_occupancy
Ba1 Ba 0.250 0.250 0.250 1
Ba2 Ba 0.750 0.750 0.750 1
Sm1 Sm 0.500 0.500 0.500 1
Re1 Re 0.000 0.000 0.000 1
O1 O 0.768 0.232 0.768 1
O2 O 0.232 0.232 0.768 1
O3 O 0.768 0.768 0.232 1
O4 O 0.768 0.232 0.232 1
O5 O 0.232 0.768 0.232 1
O6 O 0.232 0.768 0.768 1
```



5.
Computed, not measured: a geometry-optimized Ba2SrReO6 structure at the PBE-GGA level of DFT.

## Properties
- mass density (g/cm³) = 6.58

```
data_Ba2SrReO6
_space_group_name_H-M_alt 'P 1'
_space_group_IT_number 1
_cell_length_a 6.175
_cell_length_b 6.099
_cell_length_c 8.636
_cell_angle_alpha 90.00
_cell_angle_beta 90.83
_cell_angle_gamma 90.00
loop_
_space_group_symop_operation_xyz
'x,y,z'
loop_
_atom_site_label
_atom_site_type_symbol
_atom_site_fract_x
_atom_site_fract_y
_atom_site_fract_z
_atom_site_occupancy
Ba1 Ba 0.006 0.987 0.248 1
Ba2 Ba 0.506 0.513 0.748 1
Ba3 Ba 0.994 0.013 0.752 1
Ba4 Ba 0.494 0.487 0.252 1
Sr1 Sr 0.500 0.000 0.000 1
Sr2 Sr 0.000 0.500 0.500 1
Re1 Re 0.500 0.000 0.500 1
Re2 Re 0.000 0.500 0.000 1
O1 O 0.232 0.711 0.035 1
O2 O 0.732 0.789 0.535 1
O3 O 0.768 0.289 0.965 1
O4 O 0.268 0.211 0.465 1
O5 O 0.295 0.761 0.463 1
O6 O 0.795 0.739 0.963 1
O7 O 0.705 0.239 0.537 1
O8 O 0.205 0.261 0.037 1
O9 O 0.935 0.507 0.219 1
O10 O 0.435 0.993 0.719 1
O11 O 0.065 0.493 0.781 1
O12 O 0.565 0.007 0.281 1
```



6.
Computed, not measured: a geometry-optimized BaSrYbReO6 structure at the PBE-GGA level of DFT.

## Properties
- mass density (g/cm³) = 7.65

```
data_BaSrYbReO6
_space_group_name_H-M_alt 'P 1'
_space_group_IT_number 1
_cell_length_a 5.932
_cell_length_b 5.932
_cell_length_c 5.932
_cell_angle_alpha 60.00
_cell_angle_beta 60.00
_cell_angle_gamma 60.00
loop_
_space_group_symop_operation_xyz
'x,y,z'
loop_
_atom_site_label
_atom_site_type_symbol
_atom_site_fract_x
_atom_site_fract_y
_atom_site_fract_z
_atom_site_occupancy
Ba1 Ba 0.750 0.750 0.750 1
Sr1 Sr 0.250 0.250 0.250 1
Yb1 Yb 0.500 0.500 0.500 1
Re1 Re 0.000 0.000 0.000 1
O1 O 0.768 0.768 0.232 1
O2 O 0.232 0.768 0.232 1
O3 O 0.768 0.232 0.232 1
O4 O 0.232 0.232 0.768 1
O5 O 0.768 0.232 0.768 1
O6 O 0.232 0.768 0.768 1
```



7.
Computed, not measured: a geometry-optimized Ba2TaRe3O12 structure at the PBE-GGA level of DFT.

## Properties
- mass density (g/cm³) = 7.05

```
data_Ba2TaRe3O12
_space_group_name_H-M_alt 'P 1'
_space_group_IT_number 1
_cell_length_a 7.440
_cell_length_b 7.440
_cell_length_c 7.440
_cell_angle_alpha 58.97
_cell_angle_beta 58.97
_cell_angle_gamma 58.97
loop_
_space_group_symop_operation_xyz
'x,y,z'
loop_
_atom_site_label
_atom_site_type_symbol
_atom_site_fract_x
_atom_site_fract_y
_atom_site_fract_z
_atom_site_occupancy
Ba1 Ba 0.676 0.676 0.676 1
Ba2 Ba 0.324 0.324 0.324 1
Ta1 Ta 0.000 0.000 0.000 1
Re1 Re 0.500 0.000 0.000 1
Re2 Re 0.000 0.500 0.000 1
Re3 Re 0.000 0.000 0.500 1
O1 O 0.305 0.305 0.937 1
O2 O 0.925 0.925 0.326 1
O3 O 0.326 0.925 0.925 1
O4 O 0.937 0.305 0.305 1
O5 O 0.925 0.326 0.925 1
O6 O 0.305 0.937 0.305 1
O7 O 0.695 0.695 0.063 1
O8 O 0.075 0.075 0.674 1
O9 O 0.674 0.075 0.075 1
O10 O 0.063 0.695 0.695 1
O11 O 0.075 0.674 0.075 1
O12 O 0.695 0.063 0.695 1
```



8.
Computed, not measured: a geometry-optimized Ba2TbReO6 structure at the PBE-GGA level of DFT.

## Properties
- mass density (g/cm³) = 7.77

```
data_Ba2TbReO6
_space_group_name_H-M_alt 'P 1'
_space_group_IT_number 1
_cell_length_a 6.004
_cell_length_b 6.004
_cell_length_c 6.004
_cell_angle_alpha 60.00
_cell_angle_beta 60.00
_cell_angle_gamma 60.00
loop_
_space_group_symop_operation_xyz
'x,y,z'
loop_
_atom_site_label
_atom_site_type_symbol
_atom_site_fract_x
_atom_site_fract_y
_atom_site_fract_z
_atom_site_occupancy
Ba1 Ba 0.250 0.250 0.250 1
Ba2 Ba 0.750 0.750 0.750 1
Tb1 Tb 0.500 0.500 0.500 1
Re1 Re 0.000 0.000 0.000 1
O1 O 0.766 0.234 0.766 1
O2 O 0.234 0.234 0.766 1
O3 O 0.766 0.766 0.234 1
O4 O 0.766 0.234 0.234 1
O5 O 0.234 0.766 0.234 1
O6 O 0.234 0.766 0.766 1
```



9.
Computed, not measured: a geometry-optimized Ba2TbRe3O12 structure at the PBE-GGA level of DFT.

## Properties
- mass density (g/cm³) = 7.34

```
data_Ba2TbRe3O12
_space_group_name_H-M_alt 'P 1'
_space_group_IT_number 1
_cell_length_a 7.045
_cell_length_b 7.045
_cell_length_c 7.045
_cell_angle_alpha 63.76
_cell_angle_beta 63.76
_cell_angle_gamma 63.76
loop_
_space_group_symop_operation_xyz
'x,y,z'
loop_
_atom_site_label
_atom_site_type_symbol
_atom_site_fract_x
_atom_site_fract_y
_atom_site_fract_z
_atom_site_occupancy
Ba1 Ba 0.621 0.621 0.621 1
Ba2 Ba 0.379 0.379 0.379 1
Tb1 Tb 0.000 0.000 0.000 1
Re1 Re 0.500 0.000 0.000 1
Re2 Re 0.000 0.500 0.000 1
Re3 Re 0.000 0.000 0.500 1
O1 O 0.289 0.289 0.909 1
O2 O 0.883 0.883 0.394 1
O3 O 0.394 0.883 0.883 1
O4 O 0.909 0.289 0.289 1
O5 O 0.883 0.394 0.883 1
O6 O 0.289 0.909 0.289 1
O7 O 0.711 0.711 0.091 1
O8 O 0.117 0.117 0.606 1
O9 O 0.606 0.117 0.117 1
O10 O 0.091 0.711 0.711 1
O11 O 0.117 0.606 0.117 1
O12 O 0.711 0.091 0.711 1
```



10.
Computed, not measured: a geometry-optimized BaTbReO6 structure at the PBE-GGA level of DFT.

## Properties
- mass density (g/cm³) = 6.21

```
data_BaTbReO6
_space_group_name_H-M_alt 'P 1'
_space_group_IT_number 1
_cell_length_a 5.646
_cell_length_b 5.646
_cell_length_c 5.605
_cell_angle_alpha 90.00
_cell_angle_beta 90.00
_cell_angle_gamma 60.00
loop_
_space_group_symop_operation_xyz
'x,y,z'
loop_
_atom_site_label
_atom_site_type_symbol
_atom_site_fract_x
_atom_site_fract_y
_atom_site_fract_z
_atom_site_occupancy
Ba1 Ba 0.000 0.000 0.000 1
Tb1 Tb 0.667 0.667 0.500 1
Re1 Re 0.333 0.333 0.500 1
O1 O 0.046 0.356 0.304 1
O2 O 0.356 0.046 0.696 1
O3 O 0.598 0.356 0.696 1
O4 O 0.046 0.598 0.696 1
O5 O 0.356 0.598 0.304 1
O6 O 0.598 0.046 0.304 1
```



11.
Computed, not measured: a geometry-optimized BaTiReO6 structure at the PBE-GGA level of DFT.

## Properties
- mass density (g/cm³) = 5.84

```
data_BaTiReO6
_space_group_name_H-M_alt 'P 1'
_space_group_IT_number 1
_cell_length_a 7.030
_cell_length_b 7.312
_cell_length_c 7.241
_cell_angle_alpha 120.33
_cell_angle_beta 119.04
_cell_angle_gamma 90.00
loop_
_space_group_symop_operation_xyz
'x,y,z'
loop_
_atom_site_label
_atom_site_type_symbol
_atom_site_fract_x
_atom_site_fract_y
_atom_site_fract_z
_atom_site_occupancy
Ba1 Ba 0.917 0.667 0.834 1
Ba2 Ba 0.083 0.333 0.166 1
Ti1 Ti 0.500 0.000 0.500 1
Ti2 Ti 0.000 0.000 0.500 1
Re1 Re 0.500 0.500 0.000 1
Re2 Re 0.500 0.000 0.000 1
O1 O 0.446 0.696 0.892 1
O2 O 0.821 0.071 0.641 1
O3 O 0.820 0.074 0.247 1
O4 O 0.427 0.673 0.247 1
O5 O 0.427 0.074 0.247 1
O6 O 0.820 0.673 0.247 1
O7 O 0.554 0.304 0.108 1
O8 O 0.179 0.929 0.359 1
O9 O 0.180 0.926 0.753 1
O10 O 0.573 0.327 0.753 1
O11 O 0.573 0.926 0.753 1
O12 O 0.180 0.327 0.753 1
```



12.
Computed, not measured: a geometry-optimized Ba2Tl2ReO6 structure at the PBE-GGA level of DFT.

## Properties
- mass density (g/cm³) = 7.02

```
data_Ba2Tl2ReO6
_space_group_name_H-M_alt 'P 1'
_space_group_IT_number 1
_cell_length_a 6.433
_cell_length_b 6.433
_cell_length_c 6.488
_cell_angle_alpha 97.28
_cell_angle_beta 97.28
_cell_angle_gamma 118.59
loop_
_space_group_symop_operation_xyz
'x,y,z'
loop_
_atom_site_label
_atom_site_type_symbol
_atom_site_fract_x
_atom_site_fract_y
_atom_site_fract_z
_atom_site_occupancy
Ba1 Ba 0.336 0.664 0.500 1
Ba2 Ba 0.664 0.336 0.500 1
Tl1 Tl 0.847 0.153 0.000 1
Tl2 Tl 0.153 0.847 0.000 1
Re1 Re 0.000 0.000 0.500 1
O1 O 0.816 0.816 0.708 1
O2 O 0.046 0.298 0.662 1
O3 O 0.184 0.184 0.292 1
O4 O 0.298 0.046 0.662 1
O5 O 0.954 0.702 0.338 1
O6 O 0.702 0.954 0.338 1
```



| no. | final energy (eV/atom) | D(E_F) (states/eV/cell) | magnetization (μB per cell) |
| --- | --- | --- | --- |
| 1 | -3.97 | 4.16 | 8.3 |
| 2 | -8.00 | 7.89 | 3.0 |
| 3 | -7.87 | 0.00 | 0.0 |
| 4 | -7.64 | 4.69 | 1.9 |
| 5 | -7.20 | 7.92 | 1.9 |
| 6 | -7.24 | 2.89 | 0.0 |
| 7 | -8.29 | 6.45 | 1.5 |
| 8 | -7.68 | 4.47 | 2.0 |
| 9 | -7.96 | 8.79 | 0.0 |
| 10 | -7.90 | 0.00 | 0.0 |
| 11 | -8.09 | 4.00 | 1.7 |
| 12 | -6.33 | 3.94 | 1.0 |